DFT (PBE) results for crystalline Y2PH at its relaxed geometry.

Lattice parameters (Å, degrees): 5.8358 5.8358 5.8358 110.29 110.29 107.85
Sites, in units of the cell vectors:
Y  0.0668  0.6250  0.9418
Y  0.3750  0.3168  0.4418
Y  0.6832  0.1250  0.0582
Y  0.8750  0.9332  0.5582
P  0.2500  0.7500  0.5000
P  0.5000  0.5000  0.0000
H  0.0000  0.0000  0.0000
H  0.7500  0.2500  0.5000

The energy is -0.2311 Ha/atom. Its space-group type is No. 122. The volume comes out at 153 Å³ per cell.